Record 1
This record from Alexandria via LeMat-Bulk describes a relaxed structure of HfAu2C2. The functional is PBE-GGA.

Lattice parameters (Å, degrees): 7.096 7.096 2.987 90.00 90.00 90.00
Positions (direct):
Hf: 0.000 0.000 0.000
Hf: 0.500 0.500 0.000
Au: 0.129 0.371 0.000
Au: 0.371 0.871 0.000
Au: 0.629 0.129 0.000
Au: 0.871 0.629 0.000
C: 0.216 0.716 0.500
C: 0.284 0.216 0.500
C: 0.716 0.784 0.500
C: 0.784 0.284 0.500

For the calculated total energy, the calculation gives -5.431 eV/atom. The calculation puts the formation energy at 1560 meV per atom.


Record 2
This record from Alexandria via LeMat-Bulk describes a relaxed structure of HfAuC2N. The functional is PBE-GGA.

Lattice parameters (Å, degrees): 3.937 3.937 4.270 90.00 90.00 90.00
Positions (direct):
Hf: 0.000 0.000 0.000
Au: 0.500 0.500 0.500
C: 0.000 0.500 0.500
C: 0.500 0.000 0.500
N: 0.500 0.500 0.000

For the formation energy without anion corrections, the calculation gives 10.530 eV per formula unit. For the calculated total energy, the calculation gives -5.895 eV/atom.


Record 3
This record from Alexandria via LeMat-Bulk describes a relaxed structure of Hf2NiAuC. The functional is PBE-GGA.

Lattice parameters (Å, degrees): 4.508 4.508 3.811 90.00 90.00 90.00
Positions (direct):
Hf: 0.000 0.500 0.000
Hf: 0.500 0.000 0.000
Ni: 0.000 0.000 0.500
Au: 0.500 0.500 0.500
C: 0.000 0.000 0.000

For the calculated total energy, the calculation gives -8.135 eV/atom. The calculation puts the formation energy at -497 meV per atom.


Record 4
This record from Alexandria via LeMat-Bulk describes a relaxed structure of HfPdAu2C. The functional is PBE-GGA.

Lattice parameters (Å, degrees): 4.409 4.409 4.203 90.00 90.00 90.00
Positions (direct):
Hf: 0.000 0.000 0.000
Pd: 0.500 0.500 0.000
Au: 0.000 0.500 0.500
Au: 0.500 0.000 0.500
C: 0.500 0.500 0.500

For the calculated total energy, the calculation gives -5.711 eV/atom. The calculation puts the formation energy at 474 meV per atom.


Record 5
This record from Alexandria via LeMat-Bulk describes a relaxed structure of HfRuAuC2. The functional is PBE-GGA.

Lattice parameters (Å, degrees): 3.917 3.917 5.268 90.00 90.00 90.00
Positions (direct):
Hf: 0.000 0.000 0.000
Ru: 0.500 0.500 0.500
Au: 0.500 0.500 0.000
C: 0.000 0.500 0.500
C: 0.500 0.000 0.500

For the calculated total energy, the calculation gives -6.961 eV/atom. The calculation puts the formation energy at 1230 meV per atom.


Record 6
This record from Alexandria via LeMat-Bulk describes a relaxed structure of Hf2ScAuC. The functional is PBE-GGA.

Lattice parameters (Å, degrees): 4.455 4.455 4.622 90.00 90.00 90.00
Positions (direct):
Hf: 0.000 0.500 0.000
Hf: 0.500 0.000 0.000
Sc: 0.000 0.000 0.500
Au: 0.500 0.500 0.500
C: 0.500 0.500 0.000

For the calculated total energy, the calculation gives -7.799 eV/atom. The calculation puts the formation energy at -51 meV per atom.


Record 7
This record from Alexandria via LeMat-Bulk describes a relaxed structure of Sr2HfAuC. The functional is PBE-GGA.

Lattice parameters (Å, degrees): 5.812 5.812 3.949 90.00 90.00 90.00
Positions (direct):
Sr: 0.000 0.500 0.000
Sr: 0.500 0.000 0.000
Hf: 0.000 0.000 0.500
Au: 0.500 0.500 0.500
C: 0.500 0.500 0.000

For the calculated total energy, the calculation gives -4.448 eV/atom. The calculation puts the formation energy at 715 meV per atom.


Record 8
This record from Alexandria via LeMat-Bulk describes a relaxed structure of Hf2VAuC. The functional is PBE-GGA.

Lattice parameters (Å, degrees): 4.487 4.487 4.018 90.00 90.00 90.00
Positions (direct):
Hf: 0.000 0.500 0.000
Hf: 0.500 0.000 0.000
V: 0.000 0.000 0.500
Au: 0.500 0.500 0.500
C: 0.000 0.000 0.000

For the calculated total energy, the calculation gives -8.825 eV/atom. The calculation puts the formation energy at -519 meV per atom.